(1)
# CaMgSbI2

An optimized crystal structure of CaMgSbI2 (PBE, Alexandria via LeMat-Bulk).

formation energy without anion corrections = -238 meV per atom
total magnetization = 1.22 μB per formula unit
Fermi-level density of states = 2.269 states/eV/f.u.
SG = P4/mmm, No. 123
polymorph energy (0 for the lowest one) = 0.189 eV/atom

Cell: 5.9263 5.9263 6.4049 Å, 90.00 90.00 90.00°
Fractional coordinates of all 5 atoms:
I1 0.0000 0.5000 0.0000
I2 0.5000 0.0000 0.0000
Sb1 0.0000 0.0000 0.5000
Ca1 0.0000 0.0000 0.0000
Mg1 0.5000 0.5000 0.5000

=====

(2)
# Zr2TeP

An optimized crystal structure of Zr2TeP (PBE, Alexandria via LeMat-Bulk).

formation energy without anion corrections = -741 meV per atom
total magnetization = 0.00 μB per formula unit
Fermi-level density of states = 2.304 states/eV/f.u.
SG = Immm, No. 71
polymorph energy (0 for the lowest one) = 0.410 eV/atom

Cell: 5.2028 5.2028 5.2028 Å, 135.77 115.72 81.34°
Fractional coordinates of all 4 atoms:
Zr1 0.7934 0.7934 0.0000
Zr2 0.2066 0.2066 0.0000
Te1 0.5000 0.0000 0.5000
P1 0.0000 0.5000 0.5000

=====

(3)
# MgZr2Zn

An optimized crystal structure of MgZr2Zn (PBE, Alexandria via LeMat-Bulk).

total magnetization = 0.00 μB per formula unit
Fermi-level density of states = 3.820 states/eV/f.u.
E_form = -0.073 eV per atom
SG = P4/mmm, No. 123
polymorph energy (0 for the lowest one) = 0.039 eV/atom

Cell: 4.1762 4.3895 4.3895 Å, 90.00 90.00 90.00°
Fractional coordinates of all 4 atoms:
Zn1 0.5000 0.0000 0.0000
Mg1 0.5000 0.5000 0.5000
Zr1 0.0000 0.0000 0.5000
Zr2 0.0000 0.5000 0.0000

=====

(4)
# Er2Si5Tc3

An optimized crystal structure of Er2Si5Tc3 (PBE, Alexandria via LeMat-Bulk).

formation energy without anion corrections = -678 meV per atom
total magnetization = 0.00 μB per formula unit
Fermi-level density of states = 5.598 states/eV/f.u.
SG = Ibam, No. 72

Cell: 5.5380 8.3529 8.3529 Å, 70.41 70.64 70.64°
Fractional coordinates of all 20 atoms:
Er1 0.1341 0.6041 0.1277
Er2 0.6341 0.1277 0.6041
Er3 0.8659 0.3959 0.8723
Er4 0.3659 0.8723 0.3959
Si1 0.4022 0.2775 0.9182
Si2 0.9022 0.9182 0.2775
Si3 0.5978 0.7225 0.0818
Si4 0.0978 0.0818 0.7225
Si5 0.4549 0.7951 0.7951
Si6 0.5451 0.2049 0.2049
Si7 0.7500 0.5000 0.5000
Si8 0.2500 0.5000 0.5000
Si9 0.0451 0.2049 0.2049
Si10 0.9549 0.7951 0.7951
Tc1 0.3504 0.5653 0.7338
Tc2 0.8504 0.7338 0.5653
Tc3 0.6496 0.4347 0.2662
Tc4 0.1496 0.2662 0.4347
Tc5 0.2500 0.0000 0.0000
Tc6 0.7500 0.0000 0.0000